The following is a PBE-GGA calculation of CeBe2ZnAu4 after structural relaxation, from Alexandria.

Cell lengths 4.249, 4.249, 9.371 Å; angles 76.90, 76.90, 60.00 degrees
Site moments in Bohr magnetons follow the coordinates.
Atoms (fractional coordinates):
Au 0.127 0.127 0.619  0.01
Au 0.401 0.401 0.798  0.01
Au 0.873 0.873 0.381  0.01
Au 0.599 0.599 0.202  0.01
Be 0.763 0.763 0.712  0.01
Be 0.237 0.237 0.288  0.01
Zn 0.500 0.500 0.500  0.01
Ce 0.000 0.000 0.000  0.68

ΔE_f, eV per formula unit: -1.98
Magnetization, μB per formula unit: 0.87
N(E_F), states/eV per cell: 8.42